[1]
A relaxed TaFeSb2I crystal, computed with GGA-PBE.

The structure belongs to space group P4/mmm (No. 123); the cell edges are 4.841, 4.841 and 5.125 Å and the angles 90.00°, 90.00° and 90.00°. The asymmetric unit holds Ta at (0.000, 0.000, 0.000), Fe at (0.500, 0.500, 0.500), Sb at (0.000, 0.500, 0.500) and I at (0.500, 0.500, 0.000).

[2]
A relaxed FeTcSb2I crystal, computed with GGA-PBE.

The structure belongs to space group P4/mmm (No. 123); the cell edges are 5.050, 5.050 and 5.852 Å and the angles 90.00°, 90.00° and 90.00°. The asymmetric unit holds Fe at (0.000, 0.000, 0.000), Tc at (0.500, 0.500, 0.500), Sb at (0.000, 0.500, 0.500) and I at (0.500, 0.500, 0.000).

[3]
A relaxed FeTcSb2I crystal, computed with GGA-PBE.

The structure belongs to space group P4/mmm (No. 123); the cell edges are 4.895, 4.895 and 5.466 Å and the angles 90.00°, 90.00° and 90.00°. The asymmetric unit holds Fe at (0.000, 0.000, 0.000), Tc at (0.500, 0.500, 0.500), Sb at (0.000, 0.500, 0.000) and I at (0.000, 0.000, 0.500).

[4]
A relaxed FeSbTeI2 crystal, computed with GGA-PBE.

The structure belongs to space group P4/mmm (No. 123); the cell edges are 5.171, 5.171 and 5.105 Å and the angles 90.00°, 90.00° and 90.00°. The asymmetric unit holds Fe at (0.000, 0.000, 0.000), Sb at (0.000, 0.000, 0.500), Te at (0.500, 0.500, 0.500) and I at (0.000, 0.500, 0.000).

[5]
A relaxed FeSbTeI2 crystal, computed with GGA-PBE.

The structure belongs to space group P4/mmm (No. 123); the cell edges are 5.200, 5.200 and 5.086 Å and the angles 90.00°, 90.00° and 90.00°. The asymmetric unit holds Fe at (0.000, 0.000, 0.000), Sb at (0.500, 0.500, 0.500), Te at (0.000, 0.000, 0.500) and I at (0.000, 0.500, 0.000).

[6]
A relaxed FeSb2TeI crystal, computed with GGA-PBE.

The structure belongs to space group P4/mmm (No. 123); the cell edges are 5.055, 5.055 and 5.139 Å and the angles 90.00°, 90.00° and 90.00°. The asymmetric unit holds Fe at (0.000, 0.000, 0.000), Sb at (0.000, 0.500, 0.000), Te at (0.000, 0.000, 0.500) and I at (0.500, 0.500, 0.500).

The energy relative to the elements, uncorrected results, record by record, are as follows: 5.890, 5.000, 5.546, 2.146, 2.106, 1.922 eV/f.u..